No. 1
The following is a DFT calculation (PBE) of an optimized crystal structure of SmY3O6.

abc: 5.8719 5.8719 15.3031
angles: 90.00 90.00 120.00
Space group R3 (No. 146, hexagonal axes)
Unique sites:
Sm 0.0000 0.0000 0.0000 (multiplicity 3)
Y 0.0000 0.0000 0.2184 (multiplicity 3)
Y 0.0000 0.0000 0.5038 (multiplicity 3)
Y 0.0000 0.0000 0.7203 (multiplicity 3)
O 0.0394 0.6696 0.7798 (multiplicity 9)
O 0.0500 0.3721 0.2788 (multiplicity 9)

Values from the calculation:
Fermi-level density of states in states/eV per cell: 0.0

---

No. 2
The following is a DFT calculation (PBE) of an optimized crystal structure of Sm3YO6.

abc: 9.8829 9.8829 11.5721
angles: 90.00 90.00 120.00
Space group R-3 (No. 148, hexagonal axes)
Unique sites:
Sm 0.0388 0.7730 0.2096 (multiplicity 18)
Y 0.0000 0.0000 0.0000 (multiplicity 3)
Y 0.0000 0.0000 0.5000 (multiplicity 3)
O 0.0275 0.8111 0.4042 (multiplicity 18)
O 0.0279 0.8416 0.8728 (multiplicity 18)

Values from the calculation:
Fermi-level density of states in states/eV per cell: 0.0

---

No. 3
The following is a DFT calculation (PBE) of an optimized crystal structure of Sm3Y5O12.

abc: 13.608 13.608 13.608
angles: 90.00 90.00 90.00
Space group Ia-3d (No. 230)
Unique sites:
Sm 0.000 0.250 0.125 (multiplicity 24)
Y 0.000 0.000 0.000 (multiplicity 16)
Y 0.000 0.250 0.375 (multiplicity 24)
O 0.022 0.065 0.653 (multiplicity 96)

Values from the calculation:
Fermi-level density of states in states/eV per cell: 0.0

---

No. 4
The following is a DFT calculation (PBE) of an optimized crystal structure of SmY3O6.

abc: 9.7325 9.7325 11.5158
angles: 90.00 90.00 120.00
Space group R-3 (No. 148, hexagonal axes)
Unique sites:
Sm 0.0000 0.0000 0.0000 (multiplicity 3)
Sm 0.0000 0.0000 0.5000 (multiplicity 3)
Y 0.0378 0.7730 0.2110 (multiplicity 18)
O 0.0253 0.8032 0.4023 (multiplicity 18)
O 0.0280 0.8394 0.8663 (multiplicity 18)

Values from the calculation:
Fermi-level density of states in states/eV per cell: 0.0

---

No. 5
The following is a DFT calculation (PBE) of an optimized crystal structure of SmYO4.

abc: 6.719 3.887 6.347
angles: 90.00 97.28 90.00
Space group Cm (No. 8)
Unique sites:
Sm 0.000 0.000 0.000 (multiplicity 2)
Y 0.117 0.500 0.541 (multiplicity 2)
O 0.157 0.500 0.908 (multiplicity 2)
O 0.220 0.000 0.341 (multiplicity 2)
O 0.392 0.000 0.211 (multiplicity 2)
O 0.457 0.500 0.621 (multiplicity 2)

Values from the calculation:
Fermi-level density of states in states/eV per cell: 0.0

---

No. 6
The following is a DFT calculation (PBE) of an optimized crystal structure of YbSmO3.

abc: 6.001 5.839 8.427
angles: 90.00 90.00 90.00
Space group Pna2_1 (No. 33)
Unique sites:
Yb 0.017 0.000 0.000 (multiplicity 4)
Sm 0.042 0.494 0.733 (multiplicity 4)
O 0.080 0.133 0.255 (multiplicity 4)
O 0.135 0.655 0.456 (multiplicity 4)
O 0.227 0.705 0.093 (multiplicity 4)

Values from the calculation:
Fermi-level density of states in states/eV per cell: 26.3

---

No. 7
The following is a DFT calculation (PBE) of an optimized crystal structure of Sm2ZnO.

abc: 3.5862 3.5862 26.0614
angles: 90.00 90.00 120.00
Space group R-3m (No. 166, hexagonal axes)
Unique sites:
Sm 0.0000 0.0000 0.1155 (multiplicity 6)
Zn 0.0000 0.0000 0.0000 (multiplicity 3)
O 0.0000 0.0000 0.5000 (multiplicity 3)

Values from the calculation:
Fermi-level density of states in states/eV per cell: 8.0

---

No. 8
The following is a DFT calculation (PBE) of an optimized crystal structure of Sm5Zn2O2.

abc: 18.124 6.814 6.956
angles: 90.00 90.00 90.00
Space group Ima2 (No. 46)
Unique sites:
Sm 0.024 0.250 0.000 (multiplicity 8)
Sm 0.137 0.604 0.252 (multiplicity 8)
Sm 0.250 0.248 0.499 (multiplicity 4)
Zn 0.130 0.030 0.248 (multiplicity 8)
O 0.000 0.000 0.750 (multiplicity 4)
O 0.250 0.021 0.751 (multiplicity 4)

Values from the calculation:
Fermi-level density of states in states/eV per cell: 18.5

---

No. 9
The following is a DFT calculation (PBE) of an optimized crystal structure of Sm2Zr2O7.

abc: 7.088 9.803 5.665
angles: 90.00 100.47 90.00
Space group C2/m (No. 12)
Unique sites:
Sm 0.000 0.191 0.000 (multiplicity 4)
Zr 0.245 0.000 0.601 (multiplicity 4)
O 0.000 0.500 0.500 (multiplicity 2)
O 0.058 0.000 0.273 (multiplicity 4)
O 0.232 0.330 0.200 (multiplicity 8)

Values from the calculation:
Fermi-level density of states in states/eV per cell: 0.0

---

No. 10
The following is a DFT calculation (PBE) of an optimized crystal structure of Sm2Zr2O7.

abc: 7.972 5.634 13.941
angles: 90.00 98.45 90.00
Space group P2_1 (No. 4)
Unique sites:
Sm 0.137 0.000 0.061 (multiplicity 2)
Sm 0.236 0.445 0.425 (multiplicity 2)
Sm 0.285 0.915 0.631 (multiplicity 2)
Sm 0.359 0.428 0.897 (multiplicity 2)
Zr 0.028 0.433 0.619 (multiplicity 2)
Zr 0.075 0.936 0.819 (multiplicity 2)
Zr 0.412 0.445 0.174 (multiplicity 2)
Zr 0.469 0.935 0.375 (multiplicity 2)
O 0.001 0.097 0.676 (multiplicity 2)
O 0.068 0.715 0.521 (multiplicity 2)
O 0.080 0.218 0.915 (multiplicity 2)
O 0.134 0.638 0.729 (multiplicity 2)
O 0.146 0.715 0.933 (multiplicity 2)
O 0.171 0.316 0.179 (multiplicity 2)
O 0.223 0.040 0.387 (multiplicity 2)
O 0.272 0.315 0.587 (multiplicity 2)
O 0.324 0.063 0.800 (multiplicity 2)
O 0.367 0.772 0.120 (multiplicity 2)
O 0.419 0.246 0.050 (multiplicity 2)
O 0.419 0.591 0.325 (multiplicity 2)
O 0.445 0.711 0.523 (multiplicity 2)
O 0.479 0.642 0.734 (multiplicity 2)

Values from the calculation:
Fermi-level density of states in states/eV per cell: 0.0

---

No. 11
The following is a DFT calculation (PBE) of an optimized crystal structure of SmZrO.

abc: 3.558 4.465 7.378
angles: 90.00 90.00 90.00
Space group Pmmn (No. 59, origin choice 2)
Unique sites:
Sm 0.250 0.250 0.151 (multiplicity 2)
Zr 0.250 0.250 0.593 (multiplicity 2)
O 0.250 0.750 0.620 (multiplicity 2)

Values from the calculation:
Fermi-level density of states in states/eV per cell: 5.1

---

No. 12
The following is a DFT calculation (PBE) of an optimized crystal structure of Sm2Zr2O7.

abc: 7.627 3.650 10.869
angles: 90.00 90.00 90.00
Space group Pmma (No. 51)
Unique sites:
Sm 0.000 0.000 0.000 (multiplicity 2)
Sm 0.250 0.500 0.277 (multiplicity 2)
Zr 0.000 0.000 0.500 (multiplicity 2)
Zr 0.250 0.500 0.741 (multiplicity 2)
O 0.023 0.500 0.616 (multiplicity 4)
O 0.040 0.500 0.132 (multiplicity 4)
O 0.250 0.000 0.396 (multiplicity 2)
O 0.250 0.000 0.633 (multiplicity 2)
O 0.250 0.000 0.873 (multiplicity 2)

Values from the calculation:
Fermi-level density of states in states/eV per cell: 0.0

---

Formation energy without anion corrections? In order: -3.473; -3.463; -3.314; -3.473; -2.913; -3.048; -1.039; -1.338; -3.359; -3.390; -1.615; -3.222 eV/atom.
Mass density? In order: 5.594; 6.473; 5.734; 5.411; 6.126; 8.354; 6.558; 7.071; 5.106; 6.383; 7.298; 6.532 g/cm3.
Size of the total moment? In order: 0.0000; 0.0000; 0.0000; 0.0000; 0.0000; 0.2071; 0.0000; 0.0000; 0.0000; 0.0029; 0.0067; 0.0000 μB/atom.